Here is crystalline LaCuSi2 at its relaxed geometry from Alexandria. Energies are from PBE-GGA.

a b c (Å): 5.3566 5.3566 2.9584
angles (deg): 90.00 90.00 111.79
Positions (direct):
La1 0.0000 0.0000 0.0000
Cu1 0.5000 0.5000 0.0000
Si1 0.0000 0.5000 0.5000
Si2 0.5000 0.0000 0.5000

## Properties
The value obtained for the formation energy without anion corrections is 0.175 eV per atom. For the final energy, the calculation gives -4.793 eV per atom.

Here is crystalline Rb2ThTe3 at its relaxed geometry from Alexandria. Energies are from PBE-GGA.

a b c (Å): 8.9950 8.9950 9.3178
angles (deg): 104.99 104.99 45.17
Positions (direct):
Rb1 0.1772 0.1768 0.0885
Rb2 0.1768 0.1772 0.5885
Rb3 0.8232 0.8228 0.4115
Rb4 0.8228 0.8232 0.9115
Th1 0.4563 0.5437 0.7500
Th2 0.5437 0.4563 0.2500
Te1 0.0194 0.9806 0.7500
Te2 0.3680 0.3686 0.9342
Te3 0.3686 0.3680 0.4342
Te4 0.6314 0.6320 0.5658
Te5 0.6320 0.6314 0.0658
Te6 0.9806 0.0194 0.2500

## Properties
The value obtained for the formation energy without anion corrections is -1.162 eV per atom. For the final energy, the calculation gives -4.292 eV per atom. As for the energy above the lowest structure with this stoichiometry: 67.5 meV/atom.

Here is crystalline SmAl9Cu2 at its relaxed geometry from Alexandria. Energies are from PBE-GGA.

a b c (Å): 8.3620 8.3620 8.3620
angles (deg): 100.40 100.40 129.71
Positions (direct):
Sm1 0.3750 0.6250 0.7500
Sm2 0.6250 0.3750 0.2500
Al1 0.1250 0.8750 0.2500
Al2 0.1336 0.5599 0.3277
Al3 0.1336 0.8059 0.5737
Al4 0.1941 0.2679 0.3277
Al5 0.1941 0.8664 0.9263
Al6 0.2679 0.1941 0.8277
Al7 0.2679 0.4401 0.0737
Al8 0.4401 0.2679 0.5737
Al9 0.4401 0.8664 0.1723
Al10 0.5599 0.1336 0.8277
Al11 0.5599 0.7321 0.4263
Al12 0.7321 0.5599 0.9263
Al13 0.7321 0.8059 0.1723
Al14 0.8059 0.1336 0.0737
Al15 0.8059 0.7321 0.6723
Al16 0.8664 0.1941 0.4263
Al17 0.8664 0.4401 0.6723
Al18 0.8750 0.1250 0.7500
Cu1 0.0000 0.0000 0.0000
Cu2 0.0000 0.0000 0.5000
Cu3 0.0000 0.5000 0.0000
Cu4 0.5000 0.0000 0.5000

## Properties
The formation energy is -0.174 eV per atom. For the final energy, the calculation gives -4.057 eV per atom.

Here is crystalline Ni2SnH at its relaxed geometry from Alexandria. Energies are from PBE-GGA.

a b c (Å): 5.1777 5.1777 5.1777
angles (deg): 121.29 121.29 87.77
Positions (direct):
Ni1 0.3750 0.2041 0.3291
Ni2 0.7959 0.1250 0.1709
Ni3 0.8750 0.0459 0.6709
Ni4 0.9541 0.6250 0.8291
Sn1 0.2500 0.7500 0.5000
Sn2 0.5000 0.5000 0.0000
H1 0.0000 0.0000 0.0000
H2 0.7500 0.2500 0.5000

## Properties
For the final energy, the calculation gives -4.781 eV per atom. As for the energy above the lowest structure with this stoichiometry: 0.0 meV/atom.

Here is crystalline LiZrSb at its relaxed geometry from Alexandria. Energies are from PBE-GGA.

a b c (Å): 4.2706 4.2706 3.7119
angles (deg): 90.00 90.00 120.00
Positions (direct):
Li1 0.0000 0.0000 0.0000
Zr1 0.3333 0.6667 0.5000
Sb1 0.6667 0.3333 0.0000

## Properties
The value obtained for the formation energy without anion corrections is -0.504 eV per atom. For the final energy, the calculation gives -5.366 eV per atom. As for the energy above the lowest structure with this stoichiometry: 141.4 meV/atom.

Here is crystalline LiAu2Cl at its relaxed geometry from Alexandria. Energies are from PBE-GGA.

a b c (Å): 6.3209 6.3209 2.8286
angles (deg): 90.00 90.00 131.01
Positions (direct):
Li1 0.0000 0.0000 0.0000
Au1 0.0000 0.5000 0.5000
Au2 0.5000 0.0000 0.5000
Cl1 0.5000 0.5000 0.0000

## Properties
The value obtained for the formation energy without anion corrections is -0.167 eV per atom. For the final energy, the calculation gives -2.746 eV per atom. As for the energy above the lowest structure with this stoichiometry: 406.6 meV/atom.

Here is crystalline CuAg3Br2F6 at its relaxed geometry from Alexandria. Energies are from PBE-GGA.

a b c (Å): 6.8816 6.8816 5.3175
angles (deg): 93.92 93.92 54.77
Positions (direct):
Cu1 0.0000 0.0000 0.0000
Ag1 0.0000 0.5000 0.0000
Ag2 0.5000 0.0000 0.0000
Ag3 0.5000 0.5000 0.5000
Br1 0.3035 0.3035 0.6429
Br2 0.6965 0.6965 0.3571
F1 0.1366 0.1366 0.1989
F2 0.1643 0.7070 0.2006
F3 0.2930 0.8357 0.7994
F4 0.7070 0.1643 0.2006
F5 0.8357 0.2930 0.7994
F6 0.8634 0.8634 0.8011

## Properties
The value obtained for the formation energy without anion corrections is -0.954 eV per atom. For the final energy, the calculation gives -3.223 eV per atom.

Here is crystalline Sr2SbPt at its relaxed geometry from Alexandria. Energies are from PBE-GGA.

a b c (Å): 6.9610 6.9610 6.9610
angles (deg): 148.13 137.49 54.10
Positions (direct):
Sr1 0.0000 0.0000 0.0000
Sr2 0.7054 0.2054 0.5000
Sb1 0.3139 0.8139 0.5000
Pt1 0.4769 0.4769 0.0000

## Properties
The value obtained for the formation energy without anion corrections is -0.741 eV per atom. For the final energy, the calculation gives -4.123 eV per atom.

Here is crystalline Ba6Ca3Cu6Hg3O19 at its relaxed geometry from Alexandria. Energies are from PBE-GGA.

a b c (Å): 8.6613 8.6613 14.0589
angles (deg): 111.73 111.73 36.68
Positions (direct):
Ba1 0.0690 0.0690 0.2068
Ba2 0.2598 0.2598 0.7794
Ba3 0.4067 0.4067 0.2199
Ba4 0.5933 0.5933 0.7801
Ba5 0.7402 0.7402 0.2206
Ba6 0.9310 0.9310 0.7932
Ca1 0.1658 0.1658 0.4973
Ca2 0.5000 0.5000 0.5000
Ca3 0.8342 0.8342 0.5027
Cu1 0.0401 0.0401 0.6218
Cu2 0.2923 0.2923 0.3782
Cu3 0.3742 0.3742 0.6231
Cu4 0.6258 0.6258 0.3769
Cu5 0.7077 0.7077 0.6218
Cu6 0.9599 0.9599 0.3782
Hg1 0.1621 0.1621 0.0000
Hg2 0.5000 0.5000 0.0000
Hg3 0.8379 0.8379 0.0000
O1 0.0000 0.0000 0.0000
O2 0.0411 0.5376 0.6203
O3 0.1177 0.1177 0.8419
O4 0.1263 0.6263 0.3786
O5 0.2093 0.7057 0.6206
O6 0.2231 0.2231 0.1582
O7 0.2943 0.7907 0.3794
O8 0.3737 0.8737 0.6214
O9 0.4471 0.4471 0.8411
O10 0.4624 0.9589 0.3797
O11 0.5376 0.0411 0.6203
O12 0.5529 0.5529 0.1589
O13 0.6263 0.1263 0.3786
O14 0.7057 0.2093 0.6206
O15 0.7769 0.7769 0.8418
O16 0.7907 0.2943 0.3794
O17 0.8737 0.3737 0.6214
O18 0.8823 0.8823 0.1581
O19 0.9589 0.4624 0.3797

## Properties
The value obtained for the formation energy without anion corrections is -1.619 eV per atom. For the final energy, the calculation gives -5.328 eV per atom.

Here is crystalline K2TlCd7 at its relaxed geometry from Alexandria. Energies are from PBE-GGA.

a b c (Å): 4.7939 4.7939 13.1103
angles (deg): 90.00 90.00 90.00
Positions (direct):
K1 0.0000 0.5000 0.2463
K2 0.5000 0.0000 0.7537
Tl1 0.0000 0.0000 0.5000
Cd1 0.0000 0.0000 0.0000
Cd2 0.0000 0.5000 0.6468
Cd3 0.0000 0.5000 0.8647
Cd4 0.5000 0.0000 0.1353
Cd5 0.5000 0.0000 0.3532
Cd6 0.5000 0.5000 0.0000
Cd7 0.5000 0.5000 0.5000

## Properties
The formation energy is -0.065 eV per atom. For the final energy, the calculation gives -1.162 eV per atom.

Here is crystalline PaP2Ru3 at its relaxed geometry from Alexandria. Energies are from PBE-GGA.

a b c (Å): 7.8614 7.8614 6.5400
angles (deg): 103.23 103.23 29.27
Positions (direct):
Pa1 0.1141 0.1141 0.1918
Pa2 0.8859 0.8859 0.8082
P1 0.2318 0.2318 0.7427
P2 0.4779 0.4779 0.2404
P3 0.5221 0.5221 0.7596
P4 0.7682 0.7682 0.2573
Ru1 0.0772 0.0772 0.6677
Ru2 0.3156 0.3156 0.0867
Ru3 0.3215 0.3215 0.5046
Ru4 0.6785 0.6785 0.4954
Ru5 0.6844 0.6844 0.9133
Ru6 0.9228 0.9228 0.3323

## Properties
The formation energy is -0.709 eV per atom. For the final energy, the calculation gives -8.733 eV per atom.

Here is crystalline SrAc2As at its relaxed geometry from Alexandria. Energies are from PBE-GGA.

a b c (Å): 5.4902 5.4902 4.6265
angles (deg): 90.00 90.00 90.00
Positions (direct):
Sr1 0.0000 0.0000 0.0000
Ac1 0.0000 0.5000 0.5000
Ac2 0.5000 0.0000 0.5000
As1 0.5000 0.5000 0.0000

## Properties
The formation energy is -0.254 eV per atom. For the final energy, the calculation gives -3.891 eV per atom. As for the energy above the lowest structure with this stoichiometry: 360.5 meV/atom.

Here is crystalline ZnGa2Pd2 at its relaxed geometry from Alexandria. Energies are from PBE-GGA.

a b c (Å): 7.0987 7.0987 3.0941
angles (deg): 90.00 90.00 90.00
Positions (direct):
Zn1 0.0000 0.0000 0.0000
Zn2 0.5000 0.5000 0.0000
Ga1 0.1413 0.3587 0.0000
Ga2 0.3587 0.8587 0.0000
Ga3 0.6413 0.1413 0.0000
Ga4 0.8587 0.6413 0.0000
Pd1 0.1559 0.6559 0.5000
Pd2 0.3441 0.1559 0.5000
Pd3 0.6559 0.8441 0.5000
Pd4 0.8441 0.3441 0.5000

## Properties
The formation energy is -0.406 eV per atom. For the final energy, the calculation gives -3.948 eV per atom. As for the energy above the lowest structure with this stoichiometry: 99.8 meV/atom.

Here is crystalline AsIrAu at its relaxed geometry from Alexandria. Energies are from PBE-GGA.

a b c (Å): 4.3400 4.3400 4.3400
angles (deg): 60.00 60.00 60.00
Positions (direct):
As1 0.0000 0.0000 0.0000
Ir1 0.2500 0.2500 0.2500
Au1 0.5000 0.5000 0.5000

## Properties
The formation energy is 0.259 eV per atom. For the final energy, the calculation gives -5.337 eV per atom. As for the energy above the lowest structure with this stoichiometry: 132.2 meV/atom.

Here is crystalline La2InGa3 at its relaxed geometry from Alexandria. Energies are from PBE-GGA.

a b c (Å): 8.9218 8.9126 6.3029
angles (deg): 69.38 69.23 41.39
Positions (direct):
La1 0.2484 0.7516 0.2484
La2 0.2500 0.2500 0.2500
La3 0.7500 0.7500 0.7500
La4 0.7516 0.2484 0.7516
In1 0.3334 0.3334 0.6666
In2 0.6666 0.6666 0.3334
Ga1 0.1617 0.1617 0.8383
Ga2 0.1621 0.6767 0.8379
Ga3 0.3233 0.8379 0.6767
Ga4 0.6767 0.1621 0.3233
Ga5 0.8379 0.3233 0.1621
Ga6 0.8383 0.8383 0.1617

## Properties
The formation energy is -0.625 eV per atom. For the final energy, the calculation gives -4.237 eV per atom.

Here is crystalline Pm2Cd16Ag at its relaxed geometry from Alexandria. Energies are from PBE-GGA.

a b c (Å): 7.6519 7.6519 7.6519
angles (deg): 82.00 82.00 82.00
Positions (direct):
Pm1 0.0000 0.0000 0.0000
Pm2 0.3380 0.3380 0.3380
Cd1 0.0382 0.0382 0.4772
Cd2 0.0382 0.4772 0.0382
Cd3 0.1395 0.6888 0.6888
Cd4 0.3174 0.3174 0.8012
Cd5 0.3174 0.8012 0.3174
Cd6 0.3706 0.6670 0.9666
Cd7 0.3706 0.9666 0.6670
Cd8 0.4772 0.0382 0.0382
Cd9 0.5637 0.5637 0.5637
Cd10 0.6670 0.3706 0.9666
Cd11 0.6670 0.9666 0.3706
Cd12 0.6888 0.1395 0.6888
Cd13 0.6888 0.6888 0.1395
Cd14 0.8012 0.3174 0.3174
Cd15 0.9666 0.3706 0.6670
Cd16 0.9666 0.6670 0.3706
Ag1 0.7579 0.7579 0.7579

## Properties
The formation energy is -0.145 eV per atom. For the final energy, the calculation gives -1.565 eV per atom.

Here is crystalline La3NdC at its relaxed geometry from Alexandria. Energies are from PBE-GGA.

a b c (Å): 5.3365 5.3365 5.3365
angles (deg): 90.00 90.00 90.00
Positions (direct):
La1 0.0000 0.0000 0.5000
La2 0.0000 0.5000 0.0000
La3 0.5000 0.0000 0.0000
Nd1 0.5000 0.5000 0.5000
C1 0.0000 0.0000 0.0000

## Properties
The formation energy is 0.081 eV per atom. For the final energy, the calculation gives -5.674 eV per atom.

Here is crystalline SmLu3Ni at its relaxed geometry from Alexandria. Energies are from PBE-GGA.

a b c (Å): 5.2084 5.2084 5.2084
angles (deg): 90.00 90.00 90.00
Positions (direct):
Sm1 0.0000 0.0000 0.0000
Lu1 0.0000 0.5000 0.5000
Lu2 0.5000 0.0000 0.5000
Lu3 0.5000 0.5000 0.0000
Ni1 0.5000 0.5000 0.5000

## Properties
The formation energy is -0.112 eV per atom. For the final energy, the calculation gives -4.925 eV per atom.